A plane-wave DFT calculation with GGA-PBE was carried out for a relaxed Cs4CaF5 crystal.

a b c (Å): 8.4012 8.4012 8.4012
angles (deg): 94.25 94.25 148.39
Closest atoms and distances in Å follow each position.
Fractional positions:
Cs: 0.0887 0.2598 0.3485  6 F 3.08-3.30
Cs: 0.2598 0.9113 0.1712  6 F 3.08-3.30
Cs: 0.7402 0.0887 0.8288  6 F 3.08-3.30
Cs: 0.9113 0.7402 0.6515  6 F 3.08-3.30
Ca: 0.5000 0.5000 0.0000  6 F 2.29-2.30
F: 0.0000 0.0000 0.0000  2 Ca 2.29
F: 0.3258 0.3996 0.7254  1 Ca 2.30
F: 0.3996 0.6742 0.0737  1 Ca 2.30
F: 0.6004 0.3258 0.9263  1 Ca 2.30
F: 0.6742 0.6004 0.2746  1 Ca 2.30

ΔE_f (raw): -2.765 eV per atom
Crystal system: tetragonal
Density of states at the Fermi level: 1.45 states/eV per cell
Space group: No. 87


A plane-wave DFT calculation with GGA-PBE was carried out for a relaxed DyFe4Cu crystal.

a b c (Å): 4.9585 4.9585 4.9585
angles (deg): 60.00 60.00 60.00
Closest atoms and distances in Å follow each position.
Fractional positions:
Dy: 0.0000 0.0000 0.0000  12 Fe 2.91, 4 Cu 3.04
Fe: 0.1264 0.6245 0.6245  6 Fe 2.47-2.49
Fe: 0.6245 0.1264 0.6245  6 Fe 2.47-2.49
Fe: 0.6245 0.6245 0.1264  6 Fe 2.47-2.49
Fe: 0.6245 0.6245 0.6245  6 Fe 2.47-2.49
Cu: 0.2500 0.2500 0.2500  12 Fe 2.91, 4 Dy 3.04

Uncorrected energy: -7.034 eV/atom
Crystal system: cubic
Density of states at the Fermi level: 5.51 states/eV per cell
Space group: No. 216


- What is the formula in the first record?
  Cs4CaF5


- The lowest density of states at the Fermi level belongs to which entry?
  Cs4CaF5